(1)
A relaxed LaPrNO crystal, computed with GGA-PBE.

Cell: 4.3378 4.3378 8.5724 Å, 90.00 90.00 90.00°
Space group P4/nmm (No. 129, origin choice 2)
Inequivalent atoms, fractional coordinates:
La (0.2500, 0.7500, 0.0000)
Pr (0.2500, 0.2500, 0.3832)
N (0.2500, 0.2500, 0.8567)
O (0.2500, 0.7500, 0.5000)

Summary:
The value obtained for the raw total energy is -7.29 eV per atom. The calculation puts the spin magnetization at 0.85 μB/f.u. As for the volume: 80.7 Å³/f.u.

---

(2)
A relaxed Pr4BBr2N crystal, computed with GGA-PBE.

Cell: 3.8737 3.8737 14.9884 Å, 90.00 90.00 120.00°
Space group P-3m1 (No. 164)
Inequivalent atoms, fractional coordinates:
Pr (0.3333, 0.6667, 0.0871)
Pr (0.3333, 0.6667, 0.4012)
B (0.0000, 0.0000, 0.5000)
Br (0.3333, 0.6667, 0.7622)
N (0.0000, 0.0000, 0.0000)

Summary:
The value obtained for the raw total energy is -5.71 eV per atom. The calculation puts the spin magnetization at 0.23 μB/f.u. As for the volume: 194.8 Å³/f.u.

---

(3)
A relaxed SrHoGe crystal, computed with GGA-PBE.

Cell: 7.1781 7.1781 7.1781 Å, 90.00 90.00 90.00°
Space group F-43m (No. 216)
Inequivalent atoms, fractional coordinates:
Sr (0.0000, 0.0000, 0.0000)
Ho (0.0000, 0.0000, 0.5000)
Ge (0.2500, 0.2500, 0.7500)

Summary:
The value obtained for the raw total energy is -4.01 eV per atom. The calculation puts the spin magnetization at 0.01 μB/f.u. As for the volume: 92.5 Å³/f.u.

---

(4)
A relaxed Pm2Hf4Be crystal, computed with GGA-PBE.

Cell: 7.3405 17.2398 3.1129 Å, 90.00 90.00 90.00°
Space group Cmmm (No. 65)
Inequivalent atoms, fractional coordinates:
Pm (0.2500, 0.2500, 0.0000)
Hf (0.0000, 0.1346, 0.5000)
Hf (0.2373, 0.5000, 0.0000)
Be (0.0000, 0.0000, 0.5000)

Summary:
The value obtained for the raw total energy is -6.79 eV per atom. The calculation puts the spin magnetization at 0.01 μB/f.u. As for the volume: 197.0 Å³/f.u.

---

(5)
A relaxed Sr4Zr4O11 crystal, computed with GGA-PBE.

Cell: 5.8080 5.8438 8.2385 Å, 89.84 89.99 89.71°
Space group P1 (No. 1)
Inequivalent atoms, fractional coordinates:
Sr (0.0000, 0.0000, 0.0000)
Sr (0.0075, 0.0549, 0.5001)
Sr (0.4981, 0.5600, 0.5025)
Sr (0.5119, 0.4952, 0.0072)
Zr (0.0026, 0.5275, 0.7534)
Zr (0.0063, 0.5270, 0.2520)
Zr (0.5037, 0.0269, 0.7544)
Zr (0.5043, 0.0279, 0.2529)
O (0.0827, 0.5460, 0.0031)
O (0.2179, 0.8148, 0.2936)
O (0.2208, 0.8044, 0.7105)
O (0.2962, 0.3176, 0.2939)
O (0.4272, 0.0477, 0.0040)
O (0.5761, 0.0121, 0.5057)
O (0.7136, 0.7368, 0.7990)
O (0.7175, 0.7396, 0.2168)
O (0.7821, 0.2429, 0.7925)
O (0.7950, 0.2384, 0.2132)
O (0.9340, 0.5032, 0.5051)

Summary:
The value obtained for the raw total energy is -8.09 eV per atom. The calculation puts the spin magnetization at 0.00 μB/f.u. As for the volume: 279.6 Å³/f.u.

---

(6)
A relaxed DyTlSn crystal, computed with GGA-PBE.

Cell: 7.2664 7.2664 7.2664 Å, 90.00 90.00 90.00°
Space group F-43m (No. 216)
Inequivalent atoms, fractional coordinates:
Dy (0.0000, 0.0000, 0.0000)
Tl (0.2500, 0.2500, 0.2500)
Sn (0.2500, 0.2500, 0.7500)

Summary:
The value obtained for the raw total energy is -3.84 eV per atom. The calculation puts the spin magnetization at 0.00 μB/f.u. As for the volume: 95.9 Å³/f.u.